VASP calculation (GGA-PBE) on an optimized crystal structure of Cd2InAg7Sn2.

## Properties
The formation energy is 72 meV/atom. For the density of states at the Fermi level, the calculation gives 3.93 states/eV per cell. As for the space-group type: C2/m, No. 12.

Lattice parameters (Å, degrees): 4.004 4.004 16.183 96.91 96.91 90.07
Positions (direct):
Cd1 0.140 0.140 0.277
Cd2 0.860 0.860 0.723
In1 0.500 0.500 0.000
Ag1 0.000 0.000 0.000
Ag2 0.072 0.573 0.143
Ag3 0.230 0.230 0.457
Ag4 0.427 0.928 0.857
Ag5 0.573 0.072 0.143
Ag6 0.770 0.770 0.543
Ag7 0.928 0.427 0.857
Sn1 0.316 0.316 0.635
Sn2 0.684 0.684 0.365

VASP calculation (GGA-PBE) on an optimized crystal structure of Cd2In2Ag7Sn.

## Properties
The formation energy is 99 meV/atom. For the density of states at the Fermi level, the calculation gives 3.06 states/eV per cell. As for the space-group type: Imm2, No. 44.

Lattice parameters (Å, degrees): 12.876 12.876 12.876 166.57 35.48 147.31
Positions (direct):
Cd1 0.226 0.000 0.226
Cd2 0.774 0.000 0.774
In1 0.580 0.704 0.876
In2 0.828 0.704 0.124
Ag1 0.135 0.135 0.000
Ag2 0.192 0.081 0.111
Ag3 0.192 0.374 0.817
Ag4 0.333 0.901 0.433
Ag5 0.468 0.901 0.567
Ag6 0.557 0.374 0.183
Ag7 0.970 0.081 0.889
Sn1 0.766 0.266 0.500

VASP calculation (GGA-PBE) on an optimized crystal structure of CdInAg3Sn.

## Properties
The formation energy is 27 meV/atom. For the density of states at the Fermi level, the calculation gives 4.08 states/eV per cell. As for the space-group type: C2/m, No. 12.

Lattice parameters (Å, degrees): 9.401 9.401 6.791 103.97 103.97 27.44
Positions (direct):
Cd1 0.067 0.067 0.162
Cd2 0.933 0.933 0.838
In1 0.303 0.303 0.885
In2 0.697 0.697 0.115
Ag1 0.139 0.139 0.824
Ag2 0.203 0.203 0.469
Ag3 0.463 0.463 0.165
Ag4 0.537 0.537 0.835
Ag5 0.797 0.797 0.531
Ag6 0.861 0.861 0.176
Sn1 0.395 0.395 0.502
Sn2 0.605 0.605 0.498

VASP calculation (GGA-PBE) on an optimized crystal structure of Sr2CdIn6Ag.

## Properties
The formation energy is -159 meV/atom. For the density of states at the Fermi level, the calculation gives 5.90 states/eV per cell. As for the space-group type: R-3m, No. 166.

Lattice parameters (Å, degrees): 13.636 13.636 13.636 31.10 31.10 31.10
Positions (direct):
Sr1 0.105 0.105 0.105
Sr2 0.280 0.280 0.280
Sr3 0.720 0.720 0.720
Sr4 0.895 0.895 0.895
Cd1 0.426 0.426 0.426
Cd2 0.574 0.574 0.574
In1 0.072 0.667 0.667
In2 0.225 0.225 0.643
In3 0.225 0.643 0.225
In4 0.333 0.333 0.928
In5 0.333 0.928 0.333
In6 0.357 0.775 0.775
In7 0.643 0.225 0.225
In8 0.667 0.072 0.667
In9 0.667 0.667 0.072
In10 0.775 0.357 0.775
In11 0.775 0.775 0.357
In12 0.928 0.333 0.333
Ag1 0.000 0.000 0.000
Ag2 0.500 0.500 0.500

VASP calculation (GGA-PBE) on an optimized crystal structure of Sr2CdInAg6.

## Properties
The formation energy is 67 meV/atom. For the density of states at the Fermi level, the calculation gives 3.87 states/eV per cell. As for the space-group type: Fm-3m, No. 225.

Lattice parameters (Å, degrees): 7.419 7.419 7.419 60.00 60.00 60.00
Positions (direct):
Sr1 0.250 0.250 0.250
Sr2 0.750 0.750 0.750
Cd1 0.000 0.000 0.000
In1 0.500 0.500 0.500
Ag1 0.249 0.249 0.751
Ag2 0.249 0.751 0.249
Ag3 0.249 0.751 0.751
Ag4 0.751 0.249 0.249
Ag5 0.751 0.249 0.751
Ag6 0.751 0.751 0.249

VASP calculation (GGA-PBE) on an optimized crystal structure of SrCdInAg3.

## Properties
The formation energy is -86 meV/atom. For the density of states at the Fermi level, the calculation gives 5.80 states/eV per cell. As for the space-group type: Cmcm, No. 63.

Lattice parameters (Å, degrees): 7.615 7.615 6.569 90.00 90.00 127.60
Positions (direct):
Sr1 0.195 0.805 0.750
Sr2 0.805 0.195 0.250
Cd1 0.426 0.574 0.750
Cd2 0.574 0.426 0.250
In1 0.146 0.854 0.250
In2 0.854 0.146 0.750
Ag1 0.206 0.206 0.000
Ag2 0.206 0.206 0.500
Ag3 0.357 0.643 0.250
Ag4 0.643 0.357 0.750
Ag5 0.794 0.794 0.000
Ag6 0.794 0.794 0.500